The following is a DFT calculation (GGA-PBEsol) of a geometry-optimized Zn3Cd structure.

a = 3.976 Å, b = 3.976 Å, c = 8.072 Å
α = 90.00°, β = 90.00°, γ = 90.00°
Space group I4/mmm (No. 139)
Asymmetric unit:
Zn1 0.000 0.000 0.000 [2 per cell]
Zn2 0.000 0.500 0.250 [4 per cell]
Cd1 0.000 0.000 0.500 [2 per cell]

Output
The calculation puts the calculated volume at 128 Å³/cell. The calculated formation energy comes out at 7.8 kJ per mole of atoms. For the total energy, the calculation gives -1.405 eV per atom. Its mass density is 8.03 g cm⁻³.


The following is a DFT calculation (GGA-PBEsol) of a geometry-optimized Zn3Cd structure.

a = 8.778 Å, b = 3.142 Å, c = 4.740 Å
α = 90.00°, β = 98.79°, γ = 90.00°
Space group C2/m (No. 12)
Asymmetric unit:
Zn1 0.000 0.000 0.000 [2 per cell]
Zn2 0.246 0.500 0.229 [4 per cell]
Cd1 0.000 0.500 0.500 [2 per cell]

Output
The calculation puts the calculated volume at 129 Å³/cell. The calculated formation energy comes out at 7.1 kJ per mole of atoms. For the total energy, the calculation gives -1.412 eV per atom. Its mass density is 7.93 g cm⁻³.


The following is a DFT calculation (GGA-PBEsol) of a geometry-optimized ZnCd2 structure.

a = 6.790 Å, b = 6.790 Å, c = 4.938 Å
α = 90.00°, β = 90.00°, γ = 90.00°
Space group I4/mcm (No. 140)
Asymmetric unit:
Zn1 0.000 0.000 0.250 [4 per cell]
Cd1 0.152 0.348 0.000 [8 per cell]

Output
The calculation puts the calculated volume at 228 Å³/cell. The calculated formation energy comes out at 3.9 kJ per mole of atoms. For the total energy, the calculation gives -1.285 eV per atom. Its mass density is 8.47 g cm⁻³.


The following is a DFT calculation (GGA-PBEsol) of a geometry-optimized Zn3Cd4 structure.

a = 3.635 Å, b = 3.635 Å, c = 19.510 Å
α = 90.00°, β = 90.00°, γ = 90.00°
Space group I4/mmm (No. 139)
Asymmetric unit:
Zn1 0.000 0.000 0.000 [2 per cell]
Zn2 0.000 0.000 0.283 [4 per cell]
Cd1 0.000 0.000 0.147 [4 per cell]
Cd2 0.000 0.000 0.428 [4 per cell]

Output
The calculation puts the calculated volume at 258 Å³/cell. The calculated formation energy comes out at 7.3 kJ per mole of atoms. For the total energy, the calculation gives -1.287 eV per atom. Its mass density is 8.32 g cm⁻³.


What did the first record say?
The following is a DFT calculation (GGA-PBEsol) of a geometry-optimized Zn3Cd structure.

a = 3.976 Å, b = 3.976 Å, c = 8.072 Å
α = 90.00°, β = 90.00°, γ = 90.00°
Space group I4/mmm (No. 139)
Asymmetric unit:
Zn1 0.000 0.000 0.000 [2 per cell]
Zn2 0.000 0.500 0.250 [4 per cell]
Cd1 0.000 0.000 0.500 [2 per cell]

Output
The calculation puts the calculated volume at 128 Å³/cell. The calculated formation energy comes out at 7.8 kJ per mole of atoms. For the total energy, the calculation gives -1.405 eV per atom. Its mass density is 8.03 g cm⁻³.